Record 1
The following is a DFT calculation (PBE) of a geometry-optimized Fe2Si2Os structure.

It has space group P4/mbm (No. 127), with a = 6.639 Å, b = 6.639 Å, c = 2.631 Å, α = 90.00°, β = 90.00° and γ = 90.00°. The inequivalent atoms are Fe at (0.156, 0.344, 0.000), Si at (0.142, 0.642, 0.500) and Os at (0.000, 0.000, 0.500).

The uncorrected formation energy is -23.5 kJ/mol of atoms. The crystal system is tetragonal. For the density of states at the Fermi level, the calculation gives 7.06 states/eV per cell.

Record 2
The following is a DFT calculation (PBE) of a geometry-optimized RbBa2Pr structure.

It has space group R-3m (No. 166, hexagonal axes), with a = 4.2176 Å, b = 4.2176 Å, c = 44.9843 Å, α = 90.00°, β = 90.00° and γ = 120.00°. The inequivalent atoms are Rb at (0.0000, 0.0000, 0.0000), Ba at (0.0000, 0.0000, 0.0964) and Pr at (0.0000, 0.0000, 0.5000).

Its polymorph energy (0 for the lowest one) is 0.038 eV per atom. For the energy of formation, the calculation gives 0.2165 eV/atom. The crystal system is trigonal. For the density of states at the Fermi level, the calculation gives 21.55 states/eV per cell.

Record 3
The following is a DFT calculation (PBE) of a geometry-optimized Ba2SrCd structure.

It has space group F-43m (No. 216), with a = 8.903 Å, b = 8.903 Å, c = 8.903 Å, α = 90.00°, β = 90.00° and γ = 90.00°. The inequivalent atoms are Ba at (0.000, 0.000, 0.000), Ba at (0.250, 0.250, 0.250), Sr at (0.250, 0.250, 0.750) and Cd at (0.000, 0.000, 0.500).

For the energy of formation, the calculation gives -0.0202 eV/atom. The crystal system is cubic. For the density of states at the Fermi level, the calculation gives 14.00 states/eV per cell.

Record 4
The following is a DFT calculation (PBE) of a geometry-optimized GdHoAgSb structure.

It has space group F-43m (No. 216), with a = 7.416 Å, b = 7.416 Å, c = 7.416 Å, α = 90.00°, β = 90.00° and γ = 90.00°. The inequivalent atoms are Gd at (0.000, 0.000, 0.000), Ho at (0.000, 0.000, 0.500), Ag at (0.250, 0.250, 0.750) and Sb at (0.250, 0.250, 0.250).

The uncorrected formation energy is -54.9 kJ/mol of atoms. The crystal system is cubic. For the density of states at the Fermi level, the calculation gives 16.45 states/eV per cell.

Record 5
The following is a DFT calculation (PBE) of a geometry-optimized In2TeAs structure.

It has space group R-3m (No. 166, hexagonal axes), with a = 3.2175 Å, b = 3.2175 Å, c = 36.3879 Å, α = 90.00°, β = 90.00° and γ = 120.00°. The inequivalent atoms are In at (0.0000, 0.0000, 0.2371), Te at (0.0000, 0.0000, 0.0000) and As at (0.0000, 0.0000, 0.5000).

Its polymorph energy (0 for the lowest one) is 0.334 eV per atom. The uncorrected formation energy is 16.3 kJ/mol of atoms. The crystal system is trigonal. For the density of states at the Fermi level, the calculation gives 2.68 states/eV per cell.

Record 6
The following is a DFT calculation (PBE) of a geometry-optimized KPrCuBr6 structure.

It has space group P1 (No. 1), with a = 7.006 Å, b = 7.022 Å, c = 7.488 Å, α = 93.54°, β = 93.78° and γ = 113.01°. The inequivalent atoms are K at (0.000, 0.000, 0.000), Pr at (0.335, 0.668, 0.501), Cu at (0.691, 0.314, 0.499), Br at (0.011, 0.337, 0.676), Br at (0.014, 0.609, 0.227), Br at (0.394, 0.983, 0.778), Br at (0.424, 0.343, 0.286), Br at (0.660, 0.576, 0.714) and Br at (0.663, 0.993, 0.324).

The uncorrected formation energy is -124.2 kJ/mol of atoms. The crystal system is triclinic. For the density of states at the Fermi level, the calculation gives 0.07 states/eV per cell.

Record 7
The following is a DFT calculation (PBE) of a geometry-optimized In2Ni9Sb structure.

It has space group P4/mmm (No. 123), with a = 3.733 Å, b = 3.733 Å, c = 11.230 Å, α = 90.00°, β = 90.00° and γ = 90.00°. The inequivalent atoms are In at (0.000, 0.000, 0.166), Ni at (0.000, 0.500, 0.000), Ni at (0.000, 0.500, 0.336), Ni at (0.500, 0.500, 0.169), Ni at (0.500, 0.500, 0.500) and Sb at (0.000, 0.000, 0.500).

The uncorrected formation energy is -9.0 kJ/mol of atoms. The crystal system is tetragonal. For the density of states at the Fermi level, the calculation gives 13.89 states/eV per cell.

Record 8
The following is a DFT calculation (PBE) of a geometry-optimized HoLuCoIr structure.

It has space group F-43m (No. 216), with a = 6.694 Å, b = 6.694 Å, c = 6.694 Å, α = 90.00°, β = 90.00° and γ = 90.00°. The inequivalent atoms are Ho at (0.000, 0.000, 0.000), Lu at (0.000, 0.000, 0.500), Co at (0.250, 0.250, 0.750) and Ir at (0.250, 0.250, 0.250).

For the energy of formation, the calculation gives -0.5905 eV/atom. The crystal system is cubic. For the density of states at the Fermi level, the calculation gives 6.92 states/eV per cell.

Record 9
The following is a DFT calculation (PBE) of a geometry-optimized BPSe2N structure.

It has space group P4/mmm (No. 123), with a = 6.301 Å, b = 6.301 Å, c = 2.554 Å, α = 90.00°, β = 90.00° and γ = 90.00°. The inequivalent atoms are B at (0.000, 0.000, 0.000), P at (0.500, 0.500, 0.500), Se at (0.000, 0.500, 0.000) and N at (0.000, 0.000, 0.500).

Its polymorph energy (0 for the lowest one) is 0.000 eV per atom. The uncorrected formation energy is 43.8 kJ/mol of atoms. The crystal system is tetragonal. For the density of states at the Fermi level, the calculation gives 4.75 states/eV per cell.

Record 10
The following is a DFT calculation (PBE) of a geometry-optimized Mg2TlGa10 structure.

It has space group Fmmm (No. 69), with a = 5.918 Å, b = 13.219 Å, c = 13.612 Å, α = 90.00°, β = 90.00° and γ = 90.00°. The inequivalent atoms are Mg at (0.250, 0.250, 0.000), Tl at (0.000, 0.000, 0.000), Ga at (0.000, 0.107, 0.387), Ga at (0.000, 0.176, 0.178) and Ga at (0.250, 0.000, 0.250).

For the energy of formation, the calculation gives 0.0016 eV/atom. The crystal system is orthorhombic. For the density of states at the Fermi level, the calculation gives 14.25 states/eV per cell.

Record 11
The following is a DFT calculation (PBE) of a geometry-optimized ZrSc2Tl3Se6 structure.

It has space group C2/m (No. 12), with a = 6.745 Å, b = 11.685 Å, c = 8.398 Å, α = 90.00°, β = 105.56° and γ = 90.00°. The inequivalent atoms are Zr at (0.000, 0.000, 0.000), Sc at (0.000, 0.333, 0.000), Tl at (0.000, 0.167, 0.500), Tl at (0.000, 0.500, 0.500), Se at (0.231, 0.166, 0.192) and Se at (0.232, 0.500, 0.192).

The uncorrected formation energy is -111.1 kJ/mol of atoms. The crystal system is monoclinic. For the density of states at the Fermi level, the calculation gives 9.82 states/eV per cell.

Record 12
The following is a DFT calculation (PBE) of a geometry-optimized BaCoOs2 structure.

It has space group R-3m (No. 166, hexagonal axes), with a = 2.8819 Å, b = 2.8819 Å, c = 29.7592 Å, α = 90.00°, β = 90.00° and γ = 120.00°. The inequivalent atoms are Ba at (0.0000, 0.0000, 0.0000), Co at (0.0000, 0.0000, 0.5000) and Os at (0.0000, 0.0000, 0.2324).

Its polymorph energy (0 for the lowest one) is 0.843 eV per atom. For the energy of formation, the calculation gives 1.1536 eV/atom. The crystal system is trigonal. For the density of states at the Fermi level, the calculation gives 13.34 states/eV per cell.

Record 13
The following is a DFT calculation (PBE) of a geometry-optimized BeWAu4 structure.

It has space group F-43m (No. 216), with a = 7.617 Å, b = 7.617 Å, c = 7.617 Å, α = 90.00°, β = 90.00° and γ = 90.00°. The inequivalent atoms are Be at (0.000, 0.000, 0.000), W at (0.250, 0.250, 0.250) and Au at (0.125, 0.125, 0.625).

For the energy of formation, the calculation gives 0.9069 eV/atom. The crystal system is cubic. For the density of states at the Fermi level, the calculation gives 13.38 states/eV per cell.

Record 14
The following is a DFT calculation (PBE) of a geometry-optimized NbV3Si structure.

It has space group Pm-3m (No. 221), with a = 4.560 Å, b = 4.560 Å, c = 4.560 Å, α = 90.00°, β = 90.00° and γ = 90.00°. The inequivalent atoms are Nb at (0.000, 0.000, 0.000), V at (0.000, 0.000, 0.500) and Si at (0.500, 0.500, 0.500).

Its polymorph energy (0 for the lowest one) is 1.765 eV per atom. The uncorrected formation energy is 146.3 kJ/mol of atoms. The crystal system is cubic. For the density of states at the Fermi level, the calculation gives 5.85 states/eV per cell.

Record 15
The following is a DFT calculation (PBE) of a geometry-optimized BaCuAs2 structure.

It has space group P4/mmm (No. 123), with a = 4.605 Å, b = 4.605 Å, c = 4.556 Å, α = 90.00°, β = 90.00° and γ = 90.00°. The inequivalent atoms are Ba at (0.000, 0.000, 0.000), Cu at (0.500, 0.500, 0.000) and As at (0.000, 0.500, 0.500).

For the energy of formation, the calculation gives -0.0287 eV/atom. The crystal system is tetragonal. For the density of states at the Fermi level, the calculation gives 3.14 states/eV per cell.

Record 16
The following is a DFT calculation (PBE) of a geometry-optimized ZrAl4C4 structure.

It has space group P-3m1 (No. 164), with a = 3.3547 Å, b = 3.3547 Å, c = 22.1095 Å, α = 90.00°, β = 90.00° and γ = 120.00°. The inequivalent atoms are Zr at (0.3333, 0.6667, 0.0614), Al at (0.0000, 0.0000, 0.1655), Al at (0.0000, 0.0000, 0.3517), Al at (0.3333, 0.6667, 0.5453), Al at (0.3333, 0.6667, 0.7324), C at (0.0000, 0.0000, 0.0000), C at (0.0000, 0.0000, 0.2538), C at (0.0000, 0.0000, 0.5000), C at (0.3333, 0.6667, 0.6326) and C at (0.3333, 0.6667, 0.8744).

For the energy of formation, the calculation gives -0.2554 eV/atom. The crystal system is trigonal. For the density of states at the Fermi level, the calculation gives 2.46 states/eV per cell.

Record 17
The following is a DFT calculation (PBE) of a geometry-optimized Ta2InAs structure.

It has space group P4mm (No. 99), with a = 3.398 Å, b = 3.398 Å, c = 7.015 Å, α = 90.00°, β = 90.00° and γ = 90.00°. The inequivalent atoms are Ta at (0.000, 0.000, 0.000), Ta at (0.500, 0.500, 0.227), In at (0.500, 0.500, 0.746) and As at (0.000, 0.000, 0.395).

Its polymorph energy (0 for the lowest one) is 0.000 eV per atom. For the energy of formation, the calculation gives -0.0257 eV/atom. The crystal system is tetragonal. For the density of states at the Fermi level, the calculation gives 3.95 states/eV per cell.

Record 18
The following is a DFT calculation (PBE) of a geometry-optimized RbInHgI3 structure.

It has space group C2/m (No. 12), with a = 19.779 Å, b = 5.595 Å, c = 14.631 Å, α = 90.00°, β = 112.90° and γ = 90.00°. The inequivalent atoms are Rb at (0.151, 0.000, 0.071), In at (0.018, 0.500, 0.728), Hg at (0.222, 0.000, 0.547), I at (0.013, 0.000, 0.660), I at (0.086, 0.500, 0.175) and I at (0.157, 0.500, 0.907).

The uncorrected formation energy is -65.0 kJ/mol of atoms. The crystal system is monoclinic. For the density of states at the Fermi level, the calculation gives 5.05 states/eV per cell.

Record 19
The following is a DFT calculation (PBE) of a geometry-optimized Na2PaAl2O7 structure.

It has space group R32 (No. 155, hexagonal axes), with a = 5.5800 Å, b = 5.5800 Å, c = 21.9553 Å, α = 90.00°, β = 90.00° and γ = 120.00°. The inequivalent atoms are Na at (0.0000, 0.0000, 0.2388), Pa at (0.0000, 0.0000, 0.0000), Al at (0.0000, 0.0000, 0.4210), O at (0.0000, 0.0000, 0.5000) and O at (0.0070, 0.4032, 0.2723).

The uncorrected formation energy is -250.0 kJ/mol of atoms. The crystal system is trigonal. For the density of states at the Fermi level, the calculation gives 15.20 states/eV per cell.

Record 20
The following is a DFT calculation (PBE) of a geometry-optimized HfPaC2 structure.

It has space group R-3m (No. 166, hexagonal axes), with a = 3.4360 Å, b = 3.4360 Å, c = 17.0862 Å, α = 90.00°, β = 90.00° and γ = 120.00°. The inequivalent atoms are Hf at (0.0000, 0.0000, 0.0000), Pa at (0.0000, 0.0000, 0.5000) and C at (0.0000, 0.0000, 0.2551).

Its polymorph energy (0 for the lowest one) is 0.003 eV per atom. For the energy of formation, the calculation gives -0.6571 eV/atom. The crystal system is trigonal. For the density of states at the Fermi level, the calculation gives 4.94 states/eV per cell.